HfTi2AgH: relaxed, PBE.

a b c (Å): 4.1527 4.1527 4.3272
angles (deg): 90.00 90.00 90.00
With the nearest neighbours (Å) after each atom.
Positions (direct):
1 Hf 0.0000 0.0000 0.0000  2 H 2.16
2 Ti 0.0000 0.5000 0.5000  2 H 2.08
3 Ti 0.5000 0.0000 0.5000  2 H 2.08
4 Ag 0.5000 0.5000 0.0000  4 Hf 2.94, 8 Ti 3.00
5 H 0.0000 0.0000 0.5000  4 Ti 2.08, 2 Hf 2.16

Calculated values
symmetry = P4/mmm
magnetization = 0.00 μB per formula unit
E_tot = -32.343 eV for the cell shown
crystal system = tetragonal
DOS at the Fermi energy = 6.66 states/eV/cell